(1)
DFT (PBE) results for crystalline CdPtOF2 at its relaxed geometry.

Calculated values
Calculated total energy = -3.78 eV per atom
Size of the total moment = 0.0 μB/f.u.
Formation energy (no corrections) = -0.6495 eV per atom

The structure in POSCAR format:
```
CdPtOF2
1.0
4.4648 0.0000 0.0000
0.0000 4.4648 0.0000
0.0000 0.0000 3.8601
F Pt Cd O
2 1 1 1
direct
0.0000 0.5000 0.0000 F
0.5000 0.0000 0.0000 F
0.0000 0.0000 0.0000 Pt
0.5000 0.5000 0.5000 Cd
0.0000 0.0000 0.5000 O
```

=====

(2)
DFT (PBE) results for crystalline RbCdOF2 at its relaxed geometry.

Calculated values
Calculated total energy = -2.67 eV per atom
Size of the total moment = 0.0 μB/f.u.
Formation energy (no corrections) = -0.5513 eV per atom

The structure in POSCAR format:
```
RbCdOF2
1.0
-3.9164 -0.9411 -2.7257
-2.7110 -0.3648 4.0213
-0.8982 4.3489 -0.2110
F Cd Rb O
2 1 1 1
direct
0.5000 0.0000 0.0000 F
0.0000 0.5000 0.0000 F
0.5000 0.5000 0.5000 Cd
0.0000 0.0000 0.0000 Rb
0.0000 0.0000 0.5000 O
```

=====

(3)
DFT (PBE) results for crystalline RbCdOF2 at its relaxed geometry.

Calculated values
Calculated total energy = -3.81 eV per atom
Size of the total moment = 0.9 μB/f.u.
Formation energy (no corrections) = -1.6961 eV per atom

The structure in POSCAR format:
```
RbCdOF2
1.0
4.5758 0.0000 0.0000
0.0000 4.5758 0.0000
0.0000 0.0000 4.2923
F Cd Rb O
2 1 1 1
direct
0.0000 0.5000 0.0000 F
0.5000 0.0000 0.0000 F
0.0000 0.0000 0.0000 Cd
0.5000 0.5000 0.5000 Rb
0.0000 0.0000 0.5000 O
```

=====

(4)
DFT (PBE) results for crystalline Rb3Cd2O2F3 at its relaxed geometry.

Calculated values
Calculated total energy = -3.95 eV per atom
Size of the total moment = 0.0 μB/f.u.
Formation energy (no corrections) = -1.9280 eV per atom

The structure in POSCAR format:
```
Rb3Cd2O2F3
1.0
-1.0061 3.8104 -1.7681
-1.8542 1.2285 3.7027
11.4401 1.7866 2.6166
Rb Cd F O
3 2 3 2
direct
0.6246 0.6246 0.2491 Rb
0.3754 0.3754 0.7509 Rb
0.0000 0.0000 0.0000 Rb
0.2215 0.2215 0.4431 Cd
0.7785 0.7785 0.5569 Cd
0.8810 0.8810 0.7621 F
0.1190 0.1190 0.2379 F
0.5000 0.5000 0.0000 F
0.7500 0.2500 0.5000 O
0.2500 0.7500 0.5000 O
```

=====

(5)
DFT (PBE) results for crystalline CdRhOF2 at its relaxed geometry.

Calculated values
Calculated total energy = -3.76 eV per atom
Size of the total moment = 2.9 μB/f.u.
Formation energy (no corrections) = -0.3705 eV per atom

The structure in POSCAR format:
```
CdRhOF2
1.0
-1.6718 2.5431 3.0566
-3.8554 -0.2258 -1.9208
-0.9702 -3.4686 2.3552
O F Cd Rh
1 2 1 1
direct
0.0000 0.0000 0.5000 O
0.5000 0.0000 0.0000 F
0.0000 0.5000 0.0000 F
0.0000 0.0000 0.0000 Cd
0.5000 0.5000 0.5000 Rh
```

=====

(6)
DFT (PBE) results for crystalline CdRhO2F at its relaxed geometry.

Calculated values
Calculated total energy = -3.85 eV per atom
Size of the total moment = 3.4 μB/f.u.
Formation energy (no corrections) = 0.1637 eV per atom

The structure in POSCAR format:
```
CdRhO2F
1.0
-3.9448 -0.9415 -1.1594
-1.1350 -0.2387 4.0555
-0.9719 4.1095 -0.0302
O Cd F Rh
2 1 1 1
direct
0.5000 0.0000 0.0000 O
0.0000 0.5000 0.0000 O
0.0000 0.0000 0.0000 Cd
0.0000 0.0000 0.5000 F
0.5000 0.5000 0.5000 Rh
```

=====

(7)
DFT (PBE) results for crystalline CdRhOF2 at its relaxed geometry.

Calculated values
Calculated total energy = -4.28 eV per atom
Size of the total moment = 0.0 μB/f.u.
Formation energy (no corrections) = -0.8874 eV per atom

The structure in POSCAR format:
```
CdRhOF2
1.0
4.4234 0.0000 0.0000
0.0000 4.4234 0.0000
0.0000 0.0000 3.7551
F O Cd Rh
2 1 1 1
direct
0.0000 0.5000 0.0000 F
0.5000 0.0000 0.0000 F
0.0000 0.0000 0.5000 O
0.5000 0.5000 0.5000 Cd
0.0000 0.0000 0.0000 Rh
```

=====

(8)
DFT (PBE) results for crystalline CdRhO2F at its relaxed geometry.

Calculated values
Calculated total energy = -4.67 eV per atom
Size of the total moment = 0.0 μB/f.u.
Formation energy (no corrections) = -0.6602 eV per atom

The structure in POSCAR format:
```
CdRhO2F
1.0
3.9703 0.0000 0.0000
0.0000 3.9703 0.0000
0.0000 0.0000 4.1477
Rh O F Cd
1 2 1 1
direct
0.0000 0.0000 0.0000 Rh
0.0000 0.5000 0.0000 O
0.5000 0.0000 0.0000 O
0.0000 0.0000 0.5000 F
0.5000 0.5000 0.5000 Cd
```

=====

(9)
DFT (PBE) results for crystalline CdSOF2 at its relaxed geometry.

Calculated values
Calculated total energy = -3.37 eV per atom
Size of the total moment = 0.0 μB/f.u.
Formation energy (no corrections) = -0.6243 eV per atom

The structure in POSCAR format:
```
CdSOF2
1.0
4.6859 0.0000 0.0000
0.0000 4.6859 0.0000
0.0000 0.0000 3.4001
Cd S F O
1 1 2 1
direct
0.5000 0.5000 0.5000 Cd
0.0000 0.0000 0.0000 S
0.5000 0.0000 0.0000 F
0.0000 0.5000 0.0000 F
0.0000 0.0000 0.5000 O
```

=====

(10)
DFT (PBE) results for crystalline CdSOF2 at its relaxed geometry.

Calculated values
Calculated total energy = -3.03 eV per atom
Size of the total moment = 2.6 μB/f.u.
Formation energy (no corrections) = -0.2822 eV per atom

The structure in POSCAR format:
```
CdSOF2
1.0
4.3208 0.0000 0.0000
0.0000 4.3208 0.0000
0.0000 0.0000 4.3702
O S Cd F
1 1 1 2
direct
0.0000 0.0000 0.5000 O
0.5000 0.5000 0.5000 S
0.0000 0.0000 0.0000 Cd
0.5000 0.0000 0.0000 F
0.0000 0.5000 0.0000 F
```

=====

(11)
DFT (PBE) results for crystalline CdSbOF2 at its relaxed geometry.

Calculated values
Calculated total energy = -3.70 eV per atom
Size of the total moment = 0.0 μB/f.u.
Formation energy (no corrections) = -0.9536 eV per atom

The structure in POSCAR format:
```
CdSbOF2
1.0
-0.1809 -2.4940 3.5168
3.6347 1.8048 1.4669
-2.3989 3.1284 2.0952
O Cd F Sb
1 1 2 1
direct
0.0000 0.0000 0.5000 O
0.0000 0.0000 0.0000 Cd
0.0000 0.5000 0.0000 F
0.5000 0.0000 0.0000 F
0.5000 0.5000 0.5000 Sb
```

=====

(12)
DFT (PBE) results for crystalline CdSbOF2 at its relaxed geometry.

Calculated values
Calculated total energy = -4.03 eV per atom
Size of the total moment = 0.0 μB/f.u.
Formation energy (no corrections) = -1.2837 eV per atom

The structure in POSCAR format:
```
CdSbOF2
1.0
4.5678 0.0000 0.0000
0.0000 4.5678 0.0000
0.0000 0.0000 4.2244
O Cd F Sb
1 1 2 1
direct
0.0000 0.0000 0.5000 O
0.5000 0.5000 0.5000 Cd
0.0000 0.5000 0.0000 F
0.5000 0.0000 0.0000 F
0.0000 0.0000 0.0000 Sb
```